1.
{"formula": "ZnAg2", "functional": "PBE", "state": "optimized geometry", "cell": [[-3.666, 1.819, 6.555], [-2.388, -6.017, -4.220], [1.788, -1.751, 1.486]], "species": ["Ag", "Ag", "Ag", "Ag", "Ag", "Ag", "Zn", "Zn", "Zn"], "frac_coords": [[0.000, 0.301, 0.000], [0.000, 0.634, 0.500], [0.301, 0.000, 0.000], [0.699, 0.699, 0.000], [0.634, 0.000, 0.500], [0.366, 0.366, 0.500], [0.000, 0.000, 0.500], [0.333, 0.667, 0.000], [0.667, 0.333, 0.000]], "magnetic_moment_mub_per_cell": 0.00, "sg": "P-62m", "dos_ef_per_ev_cell": 2.51}



2.
{"formula": "Zn2Ag5", "functional": "PBE", "state": "optimized geometry", "cell": [[-3.721, -4.112, -0.476], [5.096, -4.595, -0.147], [-0.951, 3.859, 6.638]], "species": ["Zn", "Zn", "Zn", "Zn", "Ag", "Ag", "Ag", "Ag", "Ag", "Ag", "Ag", "Ag", "Ag", "Ag"], "frac_coords": [[0.377, 0.654, 0.755], [0.623, 0.346, 0.245], [0.877, 0.101, 0.755], [0.123, 0.899, 0.245], [0.090, 0.254, 0.180], [0.910, 0.746, 0.820], [0.590, 0.926, 0.180], [0.410, 0.074, 0.820], [0.479, 0.729, 0.457], [0.021, 0.271, 0.543], [0.521, 0.271, 0.543], [0.979, 0.729, 0.457], [0.750, 0.500, 0.000], [0.250, 0.500, 0.000]], "magnetic_moment_mub_per_cell": 0.00, "sg": "Ibam", "dos_ef_per_ev_cell": 2.49}



Values for energy relative to the lowest polymorph listed for this composition, kJ per mole of atoms, ordered as above
0.0, 2.3
Values for E_form, eV per atom, ordered as above
-0.0440, 0.0073